# SrCdTe2 PBE-GGA relaxed
data_SrCdTe2
_chemical_formula_sum 'Sr4 Cd4 Te8'
_space_group_name_H-M_alt 'F -4 3 m'
_space_group_IT_number 216
_space_group_name_Hall 'F -4 2 3'
_cell_length_a 7.908
_cell_length_b 7.908
_cell_length_c 7.908
_cell_angle_alpha 90.00
_cell_angle_beta 90.00
_cell_angle_gamma 90.00
loop_
_atom_site_label
_atom_site_fract_x
_atom_site_fract_y
_atom_site_fract_z
_atom_site_occupancy
Sr1 0.000 0.000 0.000 1
Cd1 0.250 0.250 0.250 1
Te1 0.000 0.000 0.500 1
Te2 0.250 0.250 0.750 1
# Total DFT energy (no corrections), Ry per atom: -0.196